Record 1
Entry from Alexandria via LeMat-Bulk: PuAlZnAg after structural relaxation (PBE). Values from VASP.

**E_form**: -65.8 meV/atom
**Magnetic moment**: 5.5 μB/f.u.

Quantum ESPRESSO input file:
```
&SYSTEM
  ibrav = 0, nat = 16, ntyp = 4
/
ATOMIC_SPECIES
Pu 244.00 Pu.upf
Al 26.98 Al.upf
Zn 65.41 Zn.upf
Ag 107.87 Ag.upf
CELL_PARAMETERS angstrom
6.838 0.000 0.000
0.000 6.838 0.000
0.000 0.000 6.838
ATOMIC_POSITIONS crystal
Pu 0.000 0.000 0.000
Pu 0.000 0.500 0.500
Pu 0.500 0.000 0.500
Pu 0.500 0.500 0.000
Al 0.000 0.000 0.500
Al 0.000 0.500 0.000
Al 0.500 0.000 0.000
Al 0.500 0.500 0.500
Zn 0.250 0.250 0.750
Zn 0.250 0.750 0.250
Zn 0.750 0.250 0.250
Zn 0.750 0.750 0.750
Ag 0.250 0.250 0.250
Ag 0.250 0.750 0.750
Ag 0.750 0.250 0.750
Ag 0.750 0.750 0.250
```

Record 2
Entry from Alexandria via LeMat-Bulk: ZrSbRu after structural relaxation (PBE). Values from VASP.

**Formation energy without anion corrections**: -0.57 eV/atom
**Magnetic moment**: 0.0 μB/f.u.

Quantum ESPRESSO input file:
```
&SYSTEM
  ibrav = 0, nat = 12, ntyp = 3
/
ATOMIC_SPECIES
Zr 91.22 Zr.upf
Sb 121.76 Sb.upf
Ru 101.07 Ru.upf
CELL_PARAMETERS angstrom
6.348 0.000 0.000
0.000 6.348 0.000
0.000 0.000 6.348
ATOMIC_POSITIONS crystal
Zr 0.000 0.000 0.000
Zr 0.000 0.500 0.500
Zr 0.500 0.000 0.500
Zr 0.500 0.500 0.000
Sb 0.000 0.000 0.500
Sb 0.000 0.500 0.000
Sb 0.500 0.000 0.000
Sb 0.500 0.500 0.500
Ru 0.250 0.250 0.750
Ru 0.250 0.750 0.250
Ru 0.750 0.250 0.250
Ru 0.750 0.750 0.750
```

| no. | uncorrected energy (Ry/atom) | DOS(E_F) (states/eV per atom) | V (Å³ per cell) |
| --- | --- | --- | --- |
| 1 | -0.41274 | 2.822 | 319.7 |
| 2 | -0.57936 | 1.650 | 255.8 |